MnOsRu3 | GGA-PBE | relaxed

## Properties
- raw total energy (eV for the cell shown) = -40.09
- energy of formation (eV/atom) = 1.63
- energy above the lowest structure with this stoichiometry (meV per atom) = 1366

Geometry as extended XYZ:
```
5
Lattice="4.3170 0.0000 0.0000 0.0000 4.3170 0.0000 0.0000 0.0000 4.3170" Properties=species:S:1:pos:R:3 pbc="T T T"
Mn 0.0000 0.0000 0.0000
Os 2.1585 2.1585 2.1585
Ru 0.0000 0.0000 2.1585
Ru 0.0000 2.1585 0.0000
Ru 2.1585 0.0000 0.0000
```